(1)
Below is a relaxed structure of PuPa9Al2, with properties calculated at the PBE-GGA level.

Lattice parameters (Å, degrees): 4.5234 4.5234 13.8048 90.00 90.00 90.00
Element x y z (fractional)
Pu: 0.0000 0.0000 0.0000
Pa: 0.0000 0.5000 0.1735
Pa: 0.0000 0.5000 0.5000
Pa: 0.0000 0.5000 0.8265
Pa: 0.5000 0.0000 0.1735
Pa: 0.5000 0.0000 0.5000
Pa: 0.5000 0.0000 0.8265
Pa: 0.5000 0.5000 0.0000
Pa: 0.5000 0.5000 0.3329
Pa: 0.5000 0.5000 0.6671
Al: 0.0000 0.0000 0.3365
Al: 0.0000 0.0000 0.6635

Summary:
- space group = P4/mmm, No. 123
- uncorrected energy (eV/cell) = -107.95

(2)
Below is a relaxed structure of AcPaOsPd, with properties calculated at the PBE-GGA level.

Lattice parameters (Å, degrees): 7.1932 7.1932 7.1932 90.00 90.00 90.00
Element x y z (fractional)
Ac: 0.0000 0.0000 0.0000
Ac: 0.0000 0.5000 0.5000
Ac: 0.5000 0.0000 0.5000
Ac: 0.5000 0.5000 0.0000
Pa: 0.0000 0.0000 0.5000
Pa: 0.0000 0.5000 0.0000
Pa: 0.5000 0.0000 0.0000
Pa: 0.5000 0.5000 0.5000
Os: 0.2500 0.2500 0.7500
Os: 0.2500 0.7500 0.2500
Os: 0.7500 0.2500 0.2500
Os: 0.7500 0.7500 0.7500
Pd: 0.2500 0.2500 0.2500
Pd: 0.2500 0.7500 0.7500
Pd: 0.7500 0.2500 0.7500
Pd: 0.7500 0.7500 0.2500

Summary:
- space group = F-43m, No. 216
- uncorrected energy (eV/cell) = -121.88

(3)
Below is a relaxed structure of HfBiSbO6, with properties calculated at the PBE-GGA level.

Lattice parameters (Å, degrees): 5.4471 5.4471 9.9387 90.00 90.00 120.00
Element x y z (fractional)
Hf: 0.3333 0.6667 0.2500
Hf: 0.6667 0.3333 0.7500
Bi: 0.0000 0.0000 0.0000
Bi: 0.0000 0.0000 0.5000
Sb: 0.3333 0.6667 0.7500
Sb: 0.6667 0.3333 0.2500
O: 0.0108 0.3699 0.6392
O: 0.0108 0.6409 0.8608
O: 0.3591 0.3699 0.8608
O: 0.3591 0.9892 0.6392
O: 0.3699 0.0108 0.1392
O: 0.3699 0.3591 0.3608
O: 0.6301 0.6409 0.6392
O: 0.6301 0.9892 0.8608
O: 0.6409 0.0108 0.3608
O: 0.6409 0.6301 0.1392
O: 0.9892 0.3591 0.1392
O: 0.9892 0.6301 0.3608

Summary:
- formation energy from raw total energies (eV/atom) = -2.066
- space group = P-31c, No. 163

(4)
Below is a relaxed structure of TlCd2Au8, with properties calculated at the PBE-GGA level.

Lattice parameters (Å, degrees): 8.1727 8.1727 6.9397 106.24 106.24 28.57
Element x y z (fractional)
Tl: 0.0000 0.0000 0.0000
Cd: 0.2784 0.2784 0.3563
Cd: 0.7216 0.7216 0.6437
Au: 0.0914 0.0914 0.4476
Au: 0.1814 0.1814 0.9168
Au: 0.3548 0.3548 0.8020
Au: 0.4507 0.4507 0.2852
Au: 0.5493 0.5493 0.7148
Au: 0.6452 0.6452 0.1980
Au: 0.8186 0.8186 0.0832
Au: 0.9086 0.9086 0.5524

Summary:
- space group = C2/m, No. 12
- uncorrected energy (eV/cell) = -30.91

(5)
Below is a relaxed structure of BPRhC, with properties calculated at the PBE-GGA level.

Lattice parameters (Å, degrees): 2.8141 4.2227 5.2580 112.12 90.21 109.07
Element x y z (fractional)
B: 0.0000 0.0000 0.0000
P: 0.4718 0.9439 0.5320
Rh: 0.1526 0.3136 0.4214
C: 0.4742 0.9493 0.8739

Summary:
- space group = P1, No. 1
- uncorrected energy (eV/cell) = -28.20

(6)
Below is a relaxed structure of CrSbS2, with properties calculated at the PBE-GGA level.

Lattice parameters (Å, degrees): 6.9203 6.9203 15.5520 98.89 98.89 87.16
Element x y z (fractional)
Cr: 0.0953 0.1030 0.8126
Cr: 0.1030 0.0953 0.3126
Cr: 0.1118 0.7362 0.8025
Cr: 0.2638 0.8882 0.6975
Cr: 0.7362 0.1118 0.3025
Cr: 0.8882 0.2638 0.1975
Cr: 0.8970 0.9047 0.6874
Cr: 0.9047 0.8970 0.1874
Sb: 0.1180 0.6907 0.4047
Sb: 0.3093 0.8820 0.0953
Sb: 0.3149 0.4663 0.0335
Sb: 0.4663 0.3149 0.5335
Sb: 0.5337 0.6851 0.4665
Sb: 0.6851 0.5337 0.9665
Sb: 0.6907 0.1180 0.9047
Sb: 0.8820 0.3093 0.5953
S: 0.0596 0.8378 0.5746
S: 0.1089 0.4587 0.8868
S: 0.1622 0.9404 0.9254
S: 0.1683 0.3689 0.2719
S: 0.1974 0.8026 0.2500
S: 0.3689 0.1683 0.7719
S: 0.3732 0.6268 0.7500
S: 0.4587 0.1089 0.3868
S: 0.5413 0.8911 0.6132
S: 0.6268 0.3732 0.2500
S: 0.6311 0.8317 0.2281
S: 0.8026 0.1974 0.7500
S: 0.8317 0.6311 0.7281
S: 0.8378 0.0596 0.0746
S: 0.8911 0.5413 0.1132
S: 0.9404 0.1622 0.4254

Summary:
- formation energy from raw total energies (eV/atom) = -0.232
- space group = C2/c, No. 15

(7)
Below is a relaxed structure of AcCe2PaN4, with properties calculated at the PBE-GGA level.

Lattice parameters (Å, degrees): 6.2540 3.6198 6.3775 90.00 109.45 90.00
Element x y z (fractional)
Ac: 0.0000 0.0000 0.0000
Ce: 0.5000 0.0000 0.5000
Ce: 0.5000 0.5000 0.0000
Pa: 0.0000 0.5000 0.5000
N: 0.2341 0.0000 0.7122
N: 0.2529 0.5000 0.2962
N: 0.7471 0.5000 0.7038
N: 0.7659 0.0000 0.2878

Summary:
- formation energy from raw total energies (eV/atom) = -1.410
- space group = P2/m, No. 10

(8)
Below is a relaxed structure of DyY2Ag2, with properties calculated at the PBE-GGA level.

Lattice parameters (Å, degrees): 13.5700 13.5700 5.2531 90.00 90.00 164.55
Element x y z (fractional)
Dy: 0.1451 0.8549 0.7500
Dy: 0.8549 0.1451 0.2500
Y: 0.0474 0.9526 0.2500
Y: 0.2339 0.7661 0.2500
Y: 0.7661 0.2339 0.7500
Y: 0.9526 0.0474 0.7500
Ag: 0.3582 0.6418 0.7500
Ag: 0.4521 0.5479 0.2500
Ag: 0.5479 0.4521 0.7500
Ag: 0.6418 0.3582 0.2500

Summary:
- space group = Cmcm, No. 63
- uncorrected energy (eV/cell) = -48.87

(9)
Below is a relaxed structure of Mg2CuSb, with properties calculated at the PBE-GGA level.

Lattice parameters (Å, degrees): 9.6248 3.1935 5.8522 90.00 108.07 90.00
Element x y z (fractional)
Mg: 0.0000 0.0000 0.0000
Mg: 0.2076 0.0000 0.6865
Mg: 0.5000 0.5000 0.0000
Mg: 0.7076 0.5000 0.6865
Cu: 0.4690 0.0000 0.6094
Cu: 0.9690 0.5000 0.6094
Sb: 0.2812 0.5000 0.2646
Sb: 0.7812 0.0000 0.2646

Summary:
- formation energy from raw total energies (eV/atom) = -0.049
- space group = Cm, No. 8

(10)
Below is a relaxed structure of ZrMn2H2, with properties calculated at the PBE-GGA level.

Lattice parameters (Å, degrees): 5.7528 5.7528 3.0226 90.00 90.00 90.00
Element x y z (fractional)
Zr: 0.0000 0.0000 0.0000
Zr: 0.5000 0.5000 0.0000
Mn: 0.1246 0.3754 0.5000
Mn: 0.3754 0.8754 0.5000
Mn: 0.6246 0.1246 0.5000
Mn: 0.8754 0.6246 0.5000
H: 0.1188 0.6188 0.0000
H: 0.3812 0.1188 0.0000
H: 0.6188 0.8812 0.0000
H: 0.8812 0.3812 0.0000

Summary:
- space group = P4/mbm, No. 127
- uncorrected energy (eV/cell) = -64.18

(11)
Below is a relaxed structure of CaInIr4, with properties calculated at the PBE-GGA level.

Lattice parameters (Å, degrees): 5.3197 5.3197 5.3197 60.00 60.00 60.00
Element x y z (fractional)
Ca: 0.0000 0.0000 0.0000
In: 0.7500 0.7500 0.7500
Ir: 0.3750 0.3750 0.3750
Ir: 0.3750 0.3750 0.8750
Ir: 0.3750 0.8750 0.3750
Ir: 0.8750 0.3750 0.3750

Summary:
- space group = F-43m, No. 216
- uncorrected energy (eV/cell) = -41.16

Result set for ρ: 13.98 13.47 7.87 15.69 4.81 4.35 9.69 7.17 4.54 6.74 14.41 g/cm³, one per record in the order listed.